# 1
Density functional theory data (PBE) for a relaxed Cs2MgHgO crystal.

The uncorrected formation energy is 0.223 eV/atom. Its calculated density is 3.06 g/cm³. The total magnetization comes out at 0.972 μB per formula unit. The density of states at the Fermi level comes out at 1.469 states/eV/atom. The total DFT energy (no corrections) is -7.445 eV/f.u.

The space group is P4/mmm (No. 123) and the conventional cell measures 7.232, 7.232 and 5.255 Å, with angles of 90.00, 90.00 and 90.00 degrees. The inequivalent atoms are Cs at (0.000, 0.500, 0.000), Mg at (0.000, 0.000, 0.000), Hg at (0.000, 0.000, 0.500) and O at (0.500, 0.500, 0.500).

# 2
Density functional theory data (PBE) for a relaxed NiOs2Br crystal.

The uncorrected formation energy is 1.213 eV/atom. Its calculated density is 14.52 g/cm³. The total magnetization comes out at 0.000 μB per formula unit. For the energy above the most stable polymorph in this dataset, the calculation gives 2.34 eV per formula unit. The density of states at the Fermi level comes out at 0.790 states/eV/atom. The total DFT energy (no corrections) is -25.063 eV/f.u.

The space group is I-4m2 (No. 119) and the conventional cell measures 4.124, 4.124 and 6.980 Å, with angles of 90.00, 90.00 and 90.00 degrees. The inequivalent atoms are Ni at (0.000, 0.000, 0.000), Os at (0.000, 0.000, 0.500), Os at (0.000, 0.500, 0.750) and Br at (0.000, 0.500, 0.250).

Which value of total magnetization does entry 1 give? 0.972 μB per formula unit

Which of these has the highest uncorrected formation energy? NiOs2Br